[1]
AlHg2Ge2, optimized geometry, DFT PBE; space group = P4/mbm (127); energy above the most stable polymorph in this dataset = 0 meV per atom; energy of formation from the pure elements = 0.24 eV/atom; total magnetic moment = 0.000 μB/atom
1.0
6.767 0.000 0.000
0.000 6.767 0.000
0.000 0.000 4.878
Al Hg Ge
2 4 4
Cartesian
0.000 0.000 0.000 Al
3.384 3.384 0.000 Al
1.243 2.141 2.439 Hg
2.141 5.525 2.439 Hg
4.626 1.243 2.439 Hg
5.525 4.626 2.439 Hg
0.919 4.303 0.000 Ge
2.464 0.919 0.000 Ge
4.303 5.848 0.000 Ge
5.848 2.464 0.000 Ge



[2]
CsNdTe2, optimized geometry, DFT PBE; space group = R3m (160); energy relative to the elements, uncorrected = -32.33 kcal/mol of atoms; total magnetic moment = 0.000 μB/atom
1.0
2.330 1.345 9.053
-2.330 1.345 9.053
0.000 -2.691 9.053
Cs Nd Te
1 1 2
Cartesian
0.000 0.000 0.000 Cs
0.000 0.000 22.576 Nd
0.000 0.000 6.235 Te
0.000 0.000 11.763 Te



[3]
CrAs2Se, optimized geometry, DFT PBE; space group = P4/mmm (123); energy relative to the elements, uncorrected = 8.96 kcal/mol of atoms; total magnetic moment = 0.942 μB/atom
1.0
4.763 0.000 0.000
0.000 4.763 0.000
0.000 0.000 3.244
Cr As Se
1 2 1
Cartesian
0.000 0.000 0.000 Cr
0.000 2.382 1.622 As
2.382 0.000 1.622 As
2.382 2.382 0.000 Se